(1)
A geometry-optimized CaTbNdEr structure, computed with GGA-PBE.

a b c (Å): 8.1805 8.1805 8.1805
angles (deg): 90.00 90.00 90.00
With the nearest neighbours (Å) after each atom.
Space group F-43m (No. 216)
One atom of each set of equivalent atoms:
Ca  0.0000  0.0000  0.0000 [4 per cell]  4 Nd 3.54, 4 Tb 3.54
Tb  0.2500  0.2500  0.7500 [4 per cell]  4 Er 3.54, 4 Ca 3.54
Nd  0.2500  0.2500  0.2500 [4 per cell]  4 Er 3.54, 4 Ca 3.54
Er  0.0000  0.0000  0.5000 [4 per cell]  4 Tb 3.54, 4 Nd 3.54

## Properties
**Energy relative to the elements**: 0.1356 eV/atom


(2)
A geometry-optimized KCu2AsO6 structure, computed with GGA-PBE.

a b c (Å): 13.3405 7.1547 7.0360
angles (deg): 90.00 121.71 90.00
With the nearest neighbours (Å) after each atom.
Space group C2/c (No. 15)
One atom of each set of equivalent atoms:
K  0.0000  0.2490  0.2500 [4 per cell]  8 O 2.81-2.95
Cu  0.2494  0.0551  0.1370 [8 per cell]  4 O 1.81-1.93
As  0.0000  0.2518  0.7500 [4 per cell]  4 O 1.73
O  0.0832  0.1133  0.9831 [8 per cell]  1 As 1.73, 1 Cu 1.93
O  0.0840  0.3904  0.6846 [8 per cell]  1 As 1.73, 1 Cu 1.93
O  0.2490  0.0372  0.3971 [8 per cell]  2 Cu 1.81-1.84

## Properties
**Energy relative to the elements, uncorrected**: -80 kJ/mol of atoms


(3)
A geometry-optimized Pr6Tl5Zn structure, computed with GGA-PBE.

a b c (Å): 9.9027 11.8003 6.7939
angles (deg): 90.00 103.32 90.00
With the nearest neighbours (Å) after each atom.
Space group C2/m (No. 12)
One atom of each set of equivalent atoms:
Pr  0.2289  0.0000  0.2379 [4 per cell]  1 Zn 3.19, 5 Tl 3.32-3.44
Pr  0.2369  0.1623  0.7322 [8 per cell]  1 Zn 3.16, 5 Tl 3.30-3.40
Tl  0.0000  0.1883  0.0000 [4 per cell]  6 Pr 3.30-3.32, 1 Tl 3.68
Tl  0.0000  0.3494  0.5000 [4 per cell]  6 Pr 3.34-3.37, 1 Tl 3.56
Tl  0.0000  0.5000  0.0000 [2 per cell]  6 Pr 3.40-3.44, 2 Tl 3.68
Zn  0.0000  0.0000  0.5000 [2 per cell]  6 Pr 3.16-3.19

## Properties
**Offset from the most stable computed form**: 139 meV/atom
**Energy relative to the elements**: -0.2324 eV/atom


(4)
A geometry-optimized Pm12SmSi6 structure, computed with GGA-PBE.

a b c (Å): 13.5221 13.5221 10.8474
angles (deg): 90.00 90.00 120.00
With the nearest neighbours (Å) after each atom.
Space group R-3m (No. 166, hexagonal axes)
One atom of each set of equivalent atoms:
Pm  0.0000  0.3780  0.0000 [18 per cell]  4 Si 2.93-3.05
Pm  0.0885  0.1770  0.8533 [18 per cell]  3 Si 3.03-3.09
Sm  0.0000  0.0000  0.5000 [3 per cell]  18 Pm 4.36-4.61, 6 Si 4.37
Si  0.0349  0.5175  0.7663 [18 per cell]  7 Pm 2.93-3.09

## Properties
**Energy relative to the elements, uncorrected**: -30 kJ/mol of atoms


(5)
A geometry-optimized LiCaNi2Pd structure, computed with GGA-PBE.

a b c (Å): 4.7255 4.7255 4.4293
angles (deg): 90.00 90.00 90.00
With the nearest neighbours (Å) after each atom.
Space group P4/mmm (No. 123)
One atom of each set of equivalent atoms:
Li  0.0000  0.0000  0.0000 [1 per cell]  2 Pd 2.21
Ca  0.5000  0.5000  0.0000 [1 per cell]  8 Ni 3.24, 4 Li 3.34
Ni  0.0000  0.5000  0.5000 [2 per cell]  2 Pd 2.36
Pd  0.0000  0.0000  0.5000 [1 per cell]  2 Li 2.21, 4 Ni 2.36

## Properties
**Energy relative to the elements**: 0.2510 eV/atom


(6)
A geometry-optimized Nd4Er5Tl structure, computed with GGA-PBE.

a b c (Å): 10.7467 10.7467 5.8053
angles (deg): 90.00 90.00 90.00
With the nearest neighbours (Å) after each atom.
Space group I4mm (No. 107)
One atom of each set of equivalent atoms:
Nd  0.0000  0.3131  0.0000 [8 per cell]  5 Er 3.40-3.75, 1 Tl 3.74
Er  0.0000  0.0000  0.2000 [2 per cell]  2 Tl 2.80-3.00
Er  0.1840  0.1840  0.4938 [8 per cell]  1 Tl 3.08, 1 Er 3.28, 2 Nd 3.40
Tl  0.0000  0.0000  0.7170 [2 per cell]  6 Er 2.80-3.08

## Properties
**Offset from the most stable computed form**: 59 meV/atom
**Energy relative to the elements**: 0.0917 eV/atom


(7)
A geometry-optimized SnPPtO structure, computed with GGA-PBE.

a b c (Å): 6.7324 3.8974 6.3397
angles (deg): 90.00 107.20 90.00
With the nearest neighbours (Å) after each atom.
Space group Cm (No. 8)
One atom of each set of equivalent atoms:
Sn  0.0000  0.0000  0.0000 [2 per cell]  1 O 2.09
P  0.2799  0.5000  0.4043 [2 per cell]  1 O 1.58
Pt  0.4006  0.0000  0.2361 [2 per cell]  3 P 2.46-2.47, 3 Sn 2.66-2.67
O  0.3356  0.5000  0.6639 [2 per cell]  1 P 1.58

## Properties
**Offset from the most stable computed form**: 0 meV/atom
**Energy relative to the elements, uncorrected**: -78 kJ/mol of atoms


(8)
A geometry-optimized SrCd2Ru structure, computed with GGA-PBE.

a b c (Å): 7.1249 7.1249 7.1249
angles (deg): 90.00 90.00 90.00
With the nearest neighbours (Å) after each atom.
Space group F-43m (No. 216)
One atom of each set of equivalent atoms:
Sr  0.0000  0.0000  0.0000 [4 per cell]  4 Cd 3.09, 4 Ru 3.09
Cd  0.0000  0.0000  0.5000 [4 per cell]  4 Cd 3.09, 4 Ru 3.09
Cd  0.2500  0.2500  0.2500 [4 per cell]  4 Cd 3.09, 4 Sr 3.09
Ru  0.2500  0.2500  0.7500 [4 per cell]  4 Cd 3.09, 4 Sr 3.09

## Properties
**Energy relative to the elements**: 0.3174 eV/atom


(9)
A geometry-optimized La2Zn7Hg structure, computed with GGA-PBE.

a b c (Å): 4.4346 4.4346 10.4811
angles (deg): 90.00 90.00 90.00
With the nearest neighbours (Å) after each atom.
Space group P-4m2 (No. 115)
One atom of each set of equivalent atoms:
La  0.0000  0.5000  0.2414 [2 per cell]  14 Zn 3.36-3.50, 2 Hg 3.50
Zn  0.0000  0.0000  0.0000 [1 per cell]  4 Zn 2.56
Zn  0.0000  0.5000  0.6441 [2 per cell]  3 Zn 2.45-2.68, 2 Hg 2.68
Zn  0.0000  0.5000  0.8775 [2 per cell]  5 Zn 2.45-2.56
Zn  0.5000  0.5000  0.0000 [1 per cell]  4 Zn 2.56
Zn  0.5000  0.5000  0.5000 [1 per cell]  4 Zn 2.68
Hg  0.0000  0.0000  0.5000 [1 per cell]  4 Zn 2.68

## Properties
**Energy relative to the elements**: -0.3142 eV/atom


(10)
A geometry-optimized ErAgPd3 structure, computed with GGA-PBE.

a b c (Å): 6.5955 6.5955 5.2730
angles (deg): 90.00 90.00 120.00
With the nearest neighbours (Å) after each atom.
Space group P6_3/mmc (No. 194)
One atom of each set of equivalent atoms:
Er  0.3333  0.6667  0.2500 [2 per cell]  12 Pd 3.04-3.32
Ag  0.0000  0.0000  0.0000 [2 per cell]  2 Ag 2.64, 6 Pd 2.65
Pd  0.2010  0.4020  0.7500 [6 per cell]  2 Pd 2.62, 2 Ag 2.65

## Properties
**Offset from the most stable computed form**: 191 meV/atom
**Energy relative to the elements**: -0.3126 eV/atom


(11)
A geometry-optimized Ti3Tc4Mo structure, computed with GGA-PBE.

a b c (Å): 3.1102 4.3989 8.7879
angles (deg): 90.00 90.00 90.00
With the nearest neighbours (Å) after each atom.
Space group Pmmm (No. 47)
One atom of each set of equivalent atoms:
Ti  0.0000  0.0000  0.0000 [1 per cell]  8 Tc 2.69-2.72
Ti  0.0000  0.5000  0.2467 [2 per cell]  8 Tc 2.67-2.72
Tc  0.5000  0.0000  0.2535 [2 per cell]  2 Mo 2.67, 6 Ti 2.69-2.72
Tc  0.5000  0.5000  0.0000 [1 per cell]  8 Ti 2.67-2.69
Tc  0.5000  0.5000  0.5000 [1 per cell]  4 Mo 2.69, 4 Ti 2.72
Mo  0.0000  0.0000  0.5000 [1 per cell]  8 Tc 2.67-2.69

## Properties
**Energy relative to the elements**: -0.4336 eV/atom


(12)
A geometry-optimized TlSnAu2 structure, computed with GGA-PBE.

a b c (Å): 7.3912 4.1505 6.9154
angles (deg): 90.00 109.33 90.00
With the nearest neighbours (Å) after each atom.
Space group C2/m (No. 12)
One atom of each set of equivalent atoms:
Tl  0.0000  0.0000  0.0000 [2 per cell]  6 Au 2.98-3.00
Sn  0.0000  0.5000  0.5000 [2 per cell]  6 Au 2.86-2.87
Au  0.2439  0.0000  0.7321 [4 per cell]  3 Sn 2.86-2.87, 3 Tl 2.98-3.00

## Properties
**Energy relative to the elements**: -0.0664 eV/atom


| no. | total energy (eV for the cell shown) |
| --- | --- |
| 1 | -61.68 |
| 2 | -207.89 |
| 3 | -89.14 |
| 4 | -300.46 |
| 5 | -19.42 |
| 6 | -86.67 |
| 7 | -47.32 |
| 8 | -46.07 |
| 9 | -22.22 |
| 10 | -49.11 |
| 11 | -79.45 |
| 12 | -26.38 |